A geometry-optimized Tm4GaRh2 structure, computed with PBE.

Cell: 4.7989 4.7989 6.9038 Å, 90.00 90.00 90.00°
Atoms (fractional coordinates):
Tm1 0.5000 0.0000 0.2546
Tm2 0.0000 0.5000 0.7454
Tm3 0.5000 0.0000 0.7454
Tm4 0.0000 0.5000 0.2546
Rh1 0.0000 0.0000 0.0000
Rh2 0.5000 0.5000 0.5000
Ga1 0.5000 0.5000 0.0000

## Properties
Mass density: 9.94 g cm⁻³
Energy of formation from the pure elements: -0.66 eV per atom